Record 1
The following is a DFT calculation (SCAN) of TaAl2Cd at its PBEsol-relaxed geometry.

Unit cell a=2.854 b=2.854 c=8.624 alpha=90.00 beta=90.00 gamma=90.00
Positions (direct):
Ta 0.000 0.000 0.000
Al 0.500 0.500 0.231
Al 0.500 0.500 0.769
Cd 0.000 0.000 0.500

Summary:
VASP energy: -112.62 eV for the cell shown
SG: P4/mmm, No. 123
Size of the total moment: 0.00 μB/cell
Calculated density: 8.2 Mg/m³



Record 2
The following is a DFT calculation (SCAN) of TaAl2Cd at its PBEsol-relaxed geometry.

Unit cell a=9.487 b=9.487 c=9.487 alpha=17.94 beta=17.94 gamma=17.94
Positions (direct):
Ta 0.000 0.000 0.000
Al 0.253 0.253 0.253
Al 0.747 0.747 0.747
Cd 0.500 0.500 0.500

Summary:
VASP energy: -112.62 eV for the cell shown
SG: R-3m, No. 166
Size of the total moment: 0.00 μB/cell
Calculated density: 8.2 Mg/m³



Record 3
The following is a DFT calculation (SCAN) of TaAl2Cd at its PBEsol-relaxed geometry.

Unit cell a=4.623 b=4.623 c=4.623 alpha=60.00 beta=60.00 gamma=60.00
Positions (direct):
Ta 0.000 0.000 0.000
Al 0.250 0.250 0.250
Al 0.500 0.500 0.500
Cd 0.750 0.750 0.750

Summary:
VASP energy: -110.79 eV for the cell shown
SG: F-43m, No. 216
Size of the total moment: 1.18 μB/cell
Calculated density: 8.3 Mg/m³



Repeat the second record exactly.
The following is a DFT calculation (SCAN) of TaAl2Cd at its PBEsol-relaxed geometry.

Unit cell a=9.487 b=9.487 c=9.487 alpha=17.94 beta=17.94 gamma=17.94
Positions (direct):
Ta 0.000 0.000 0.000
Al 0.253 0.253 0.253
Al 0.747 0.747 0.747
Cd 0.500 0.500 0.500

Summary:
VASP energy: -112.62 eV for the cell shown
SG: R-3m, No. 166
Size of the total moment: 0.00 μB/cell
Calculated density: 8.2 Mg/m³